# 1
Material: Mg2AgIr
Method: DFT, GGA-PBE
State: optimized geometry

Structure (POSCAR):
```
Mg2AgIr
1.0
-2.653 -3.704 -0.471
1.823 -4.185 0.375
-0.968 -2.601 3.643
Ag Mg Ir
1 2 1
Cartesian
-0.899 -5.245 1.773 Ag
-1.348 -7.867 2.660 Mg
0.000 0.000 0.000 Mg
-0.449 -2.622 0.887 Ir
```

Offset from the most stable computed form in eV/atom: 0.209
Size of the total moment in μB per cell: 0.00
Calculated total energy in hartree per atom: -0.1406
Formation energy in eV/atom: -0.101

=====

# 2
Material: MgAg3Ir
Method: DFT, GGA-PBE
State: optimized geometry

Structure (POSCAR):
```
MgAg3Ir
1.0
-0.327 2.600 4.321
-4.717 1.373 -1.183
-1.782 -4.110 2.338
Ag Mg Ir
3 1 1
Cartesian
-0.891 -2.055 1.169 Ag
-2.359 0.686 -0.591 Ag
-0.163 1.300 2.160 Ag
-3.413 -0.069 2.738 Mg
0.000 0.000 0.000 Ir
```

Offset from the most stable computed form in eV/atom: 0.000
Size of the total moment in μB per cell: 0.00
Calculated total energy in hartree per atom: -0.1048
Formation energy in eV/atom: 0.951

=====

# 3
Material: MgAgIr2
Method: DFT, GGA-PBE
State: optimized geometry

Structure (POSCAR):
```
MgAgIr2
1.0
-2.437 -2.296 -3.799
2.971 -2.579 -3.189
-0.557 0.205 5.029
Mg Ag Ir
1 1 2
Cartesian
1.341 -2.406 -0.827 Mg
-1.364 -2.264 -1.132 Ag
0.267 -2.438 -3.494 Ir
0.000 0.000 0.000 Ir
```

Size of the total moment in μB per cell: 0.00
Calculated total energy in hartree per atom: -0.1987
Formation energy in eV/atom: 0.134

=====

# 4
Material: MgAgIr2
Method: DFT, GGA-PBE
State: optimized geometry

Structure (POSCAR):
```
MgAgIr2
1.0
-1.330 1.603 -1.804
1.913 -1.678 -1.057
-6.392 -6.577 -1.132
Ag Ir Mg
1 2 1
Cartesian
-4.502 -4.970 -2.279 Ag
-0.086 -0.089 -0.015 Ir
-3.110 -3.200 -0.551 Ir
-1.306 -1.682 -1.713 Mg
```

Size of the total moment in μB per cell: 0.00
Calculated total energy in hartree per atom: -0.1999
Formation energy in eV/atom: 0.103

=====

# 5
Material: Mg2AgIr
Method: DFT, GGA-PBE
State: optimized geometry

Structure (POSCAR):
```
Mg2AgIr
1.0
-3.153 2.495 3.236
-4.583 2.326 0.476
-2.891 -3.181 1.693
Mg Ir Ag
2 1 1
Cartesian
-7.792 4.544 3.758 Mg
-7.894 1.433 4.001 Mg
-2.488 0.579 1.253 Ir
-5.503 0.726 2.806 Ag
```

Offset from the most stable computed form in eV/atom: 0.100
Size of the total moment in μB per cell: 0.00
Calculated total energy in hartree per atom: -0.1446
Formation energy in eV/atom: -0.211

=====

# 6
Material: MgAgIr2
Method: DFT, GGA-PBE
State: optimized geometry

Structure (POSCAR):
```
MgAgIr2
1.0
-0.104 1.550 -3.603
-0.965 -2.458 -1.030
-6.357 -0.718 -0.125
Ir Ag Mg
2 1 1
Cartesian
-1.757 -0.060 -2.112 Ir
-1.142 -2.401 -1.000 Ir
-5.495 -1.621 -2.675 Ag
-3.657 -1.589 -0.578 Mg
```

Size of the total moment in μB per cell: 0.00
Calculated total energy in hartree per atom: -0.2033
Formation energy in eV/atom: 0.010

=====

# 7
Material: Mg2AgIr
Method: DFT, GGA-PBE
State: optimized geometry

Structure (POSCAR):
```
Mg2AgIr
1.0
2.936 0.000 0.000
0.000 4.181 0.000
0.000 0.000 5.569
Ir Ag Mg
1 1 2
Cartesian
1.468 2.091 4.344 Ir
0.000 0.000 2.708 Ag
0.000 0.000 5.356 Mg
1.468 2.091 1.514 Mg
```

Offset from the most stable computed form in eV/atom: 0.192
Size of the total moment in μB per cell: 0.00
Calculated total energy in hartree per atom: -0.1412
Formation energy in eV/atom: -0.118

=====

# 8
Material: MgAgIr2
Method: DFT, GGA-PBE
State: optimized geometry

Structure (POSCAR):
```
MgAgIr2
1.0
3.153 0.000 0.000
0.000 3.153 0.000
0.000 0.000 6.296
Ir Ag Mg
2 1 1
Cartesian
0.000 0.000 3.023 Ir
0.000 0.000 0.125 Ir
1.576 1.576 4.722 Ag
1.576 1.576 1.574 Mg
```

Size of the total moment in μB per cell: 0.00
Calculated total energy in hartree per atom: -0.1934
Formation energy in eV/atom: 0.280

=====

# 9
Material: MgAgIr2
Method: DFT, GGA-PBE
State: optimized geometry

Structure (POSCAR):
```
MgAgIr2
1.0
3.770 0.000 0.000
0.000 3.770 0.000
1.885 1.885 9.654
Mg Ir Ag
2 4 2
Cartesian
1.885 1.885 0.000 Mg
1.885 3.770 4.827 Mg
2.827 2.872 7.241 Ir
2.782 0.942 2.414 Ir
0.987 2.827 2.414 Ir
4.712 4.667 7.241 Ir
3.770 1.885 4.827 Ag
0.000 0.000 0.000 Ag
```

Size of the total moment in μB per cell: 0.01
Calculated total energy in hartree per atom: -0.1890
Formation energy in eV/atom: 0.398

=====

# 10
Material: Mg2AgIr
Method: DFT, GGA-PBE
State: optimized geometry

Structure (POSCAR):
```
Mg2AgIr
1.0
2.861 0.007 0.000
-1.149 2.620 0.000
0.000 0.000 9.375
Mg Ir Ag
2 1 1
Cartesian
0.000 0.000 9.158 Mg
0.856 1.313 2.438 Mg
0.856 1.313 7.102 Ir
0.000 0.000 4.740 Ag
```

Offset from the most stable computed form in eV/atom: 0.400
Size of the total moment in μB per cell: 0.00
Calculated total energy in hartree per atom: -0.1336
Formation energy in eV/atom: 0.090

=====

# 11
Material: MgAgIr2
Method: DFT, GGA-PBE
State: optimized geometry

Structure (POSCAR):
```
MgAgIr2
1.0
4.812 0.001 0.008
3.966 2.726 0.008
0.851 0.264 4.835
Ir Mg Ag
2 1 1
Cartesian
7.224 2.244 3.819 Ir
0.877 0.272 4.625 Ir
4.756 1.478 2.338 Mg
2.438 0.757 1.329 Ag
```

Size of the total moment in μB per cell: 0.00
Calculated total energy in hartree per atom: -0.2034
Formation energy in eV/atom: 0.006

=====

# 12
Material: Mg2AgIr2
Method: DFT, GGA-PBE
State: optimized geometry

Structure (POSCAR):
```
Mg2AgIr2
1.0
7.833 0.000 0.000
0.000 7.833 0.000
0.000 0.000 2.754
Ir Mg Ag
4 4 2
Cartesian
1.271 5.187 1.377 Ir
6.561 2.645 1.377 Ir
2.645 1.271 1.377 Ir
5.187 6.561 1.377 Ir
4.971 1.054 0.000 Mg
6.778 4.971 0.000 Mg
1.054 2.862 0.000 Mg
2.862 6.778 0.000 Mg
0.000 0.000 0.000 Ag
3.916 3.916 0.000 Ag
```

Offset from the most stable computed form in eV/atom: 0.076
Size of the total moment in μB per cell: 0.00
Calculated total energy in hartree per atom: -0.1723
Formation energy in eV/atom: 0.063

=====

# 13
Material: Mg5AgIr
Method: DFT, GGA-PBE
State: optimized geometry

Structure (POSCAR):
```
Mg5AgIr
1.0
0.479 1.044 -4.499
-2.089 -3.988 -1.138
-11.547 6.001 0.162
Mg Ag Ir
10 2 2
Cartesian
-2.407 2.544 -4.458 Mg
-12.158 1.894 -3.242 Mg
-0.998 1.164 -2.233 Mg
-10.749 0.513 -1.017 Mg
-2.282 -1.351 -0.552 Mg
-6.771 4.166 -2.152 Mg
-8.055 1.650 -0.472 Mg
-6.385 -1.108 -3.323 Mg
-5.101 1.408 -5.003 Mg
-10.874 4.409 -4.923 Mg
-3.692 0.028 -2.777 Ag
-9.465 3.030 -2.697 Ag
-5.773 3.001 0.081 Ir
0.000 0.000 0.000 Ir
```

Size of the total moment in μB per cell: 0.00
Calculated total energy in hartree per atom: -0.1112
Formation energy in eV/atom: -0.214

=====

# 14
Material: Mg6AgIr
Method: DFT, GGA-PBE
State: optimized geometry

Structure (POSCAR):
```
Mg6AgIr
1.0
-5.137 2.859 -2.077
-4.191 -3.599 -2.332
-4.288 -2.307 3.558
Mg Ag Ir
6 1 1
Cartesian
-2.391 -0.186 -1.129 Mg
-6.938 -0.554 -3.279 Mg
-5.802 0.977 -0.269 Mg
-8.336 -0.925 -0.489 Mg
-7.815 -4.023 -0.581 Mg
-5.281 -2.122 -0.360 Mg
0.000 0.000 0.000 Ag
-4.664 -0.370 -2.204 Ir
```

Size of the total moment in μB per cell: 0.00
Calculated total energy in hartree per atom: -0.0966
Formation energy in eV/atom: 0.031